Compound: NiTe2I
Source: the Alexandria database
Functional: PBE-GGA
Structure: optimized geometry

Structure (CIF):
```
data_NiTe2I
_chemical_formula_sum 'Ni4 Te8 I4'
_cell_length_a 7.916
_cell_length_b 5.289
_cell_length_c 13.349
_cell_angle_alpha 90.00
_cell_angle_beta 110.36
_cell_angle_gamma 90.00
_symmetry_space_group_name_H-M 'P 1'
_symmetry_Int_Tables_number 1
loop_
_symmetry_equiv_pos_as_xyz
'x,y,z'
loop_
_atom_site_label
_atom_site_type_symbol
_atom_site_fract_x
_atom_site_fract_y
_atom_site_fract_z
Ni1 Ni 0.086 0.018 0.390
Ni2 Ni 0.086 0.482 0.890
Ni3 Ni 0.914 0.518 0.110
Ni4 Ni 0.914 0.982 0.610
Te1 Te 0.127 0.714 0.541
Te2 Te 0.127 0.786 0.041
Te3 Te 0.379 0.150 0.530
Te4 Te 0.379 0.350 0.030
Te5 Te 0.621 0.650 0.970
Te6 Te 0.621 0.850 0.470
Te7 Te 0.873 0.214 0.959
Te8 Te 0.873 0.286 0.459
I1 I 0.178 0.203 0.757
I2 I 0.178 0.297 0.257
I3 I 0.822 0.703 0.743
I4 I 0.822 0.797 0.243
```

Results
As for the space-group type: P2_1/c. For the density, the calculation gives 5.59 Mg/m³. For the total magnetization, the calculation gives 0.00 μB per cell. The calculation puts the density of states at the Fermi level at 2.181 states/eV/f.u. For the energy relative to the elements, uncorrected, the calculation gives -0.05 eV/atom.

***

Compound: KAs2Se2
Source: the Alexandria database
Functional: PBE-GGA
Structure: optimized geometry

Structure (CIF):
```
data_KAs2Se2
_chemical_formula_sum 'K2 As4 Se4'
_cell_length_a 8.716
_cell_length_b 8.716
_cell_length_c 3.602
_cell_angle_alpha 90.00
_cell_angle_beta 90.00
_cell_angle_gamma 90.00
_symmetry_space_group_name_H-M 'P 1'
_symmetry_Int_Tables_number 1
loop_
_symmetry_equiv_pos_as_xyz
'x,y,z'
loop_
_atom_site_label
_atom_site_type_symbol
_atom_site_fract_x
_atom_site_fract_y
_atom_site_fract_z
K1 K 0.000 0.000 0.000
K2 K 0.500 0.500 0.000
As1 As 0.136 0.364 0.000
As2 As 0.364 0.864 0.000
As3 As 0.636 0.136 0.000
As4 As 0.864 0.636 0.000
Se1 Se 0.226 0.726 0.500
Se2 Se 0.274 0.226 0.500
Se3 Se 0.726 0.774 0.500
Se4 Se 0.774 0.274 0.500
```

Results
As for the space-group type: P4/mbm. For the density, the calculation gives 4.21 Mg/m³. For the energy above the most stable polymorph in this dataset, the calculation gives 0.0 kJ per mole of atoms. For the total magnetization, the calculation gives 0.00 μB per cell. The calculation puts the density of states at the Fermi level at 1.017 states/eV/f.u. For the energy relative to the elements, uncorrected, the calculation gives -0.22 eV/atom.

***

Compound: Sr3GeTe4
Source: the Alexandria database
Functional: PBE-GGA
Structure: optimized geometry

Structure (CIF):
```
data_Sr3GeTe4
_chemical_formula_sum 'Sr6 Ge2 Te8'
_cell_length_a 13.184
_cell_length_b 6.670
_cell_length_c 6.671
_cell_angle_alpha 90.00
_cell_angle_beta 90.00
_cell_angle_gamma 90.00
_symmetry_space_group_name_H-M 'P 1'
_symmetry_Int_Tables_number 1
loop_
_symmetry_equiv_pos_as_xyz
'x,y,z'
loop_
_atom_site_label
_atom_site_type_symbol
_atom_site_fract_x
_atom_site_fract_y
_atom_site_fract_z
Sr1 Sr 0.000 0.245 0.000
Sr2 Sr 0.250 0.248 0.499
Sr3 Sr 0.250 0.752 0.999
Sr4 Sr 0.500 0.755 0.500
Sr5 Sr 0.750 0.248 0.499
Sr6 Sr 0.750 0.752 0.999
Ge1 Ge 0.000 0.788 0.540
Ge2 Ge 0.500 0.212 0.040
Te1 Te 0.000 0.208 0.504
Te2 Te 0.000 0.749 0.961
Te3 Te 0.240 0.749 0.500
Te4 Te 0.260 0.251 0.000
Te5 Te 0.500 0.251 0.461
Te6 Te 0.500 0.792 0.004
Te7 Te 0.740 0.251 0.000
Te8 Te 0.760 0.749 0.500
```

Results
As for the space-group type: Pmn2_1. For the density, the calculation gives 4.79 Mg/m³. For the total magnetization, the calculation gives 0.00 μB per cell. The calculation puts the density of states at the Fermi level at 0.000 states/eV/f.u. For the energy relative to the elements, uncorrected, the calculation gives -1.29 eV/atom.

***

Compound: FeAg3P
Source: the Alexandria database
Functional: PBE-GGA
Structure: optimized geometry

Structure (CIF):
```
data_FeAg3P
_chemical_formula_sum 'Fe1 Ag3 P1'
_cell_length_a 4.698
_cell_length_b 4.698
_cell_length_c 4.698
_cell_angle_alpha 90.00
_cell_angle_beta 90.00
_cell_angle_gamma 90.00
_symmetry_space_group_name_H-M 'P 1'
_symmetry_Int_Tables_number 1
loop_
_symmetry_equiv_pos_as_xyz
'x,y,z'
loop_
_atom_site_label
_atom_site_type_symbol
_atom_site_fract_x
_atom_site_fract_y
_atom_site_fract_z
Fe1 Fe 0.000 0.000 0.000
Ag1 Ag 0.000 0.500 0.500
Ag2 Ag 0.500 0.000 0.500
Ag3 Ag 0.500 0.500 0.000
P1 P 0.500 0.500 0.500
```

Results
The calculation puts the formation energy at 793 meV/atom. As for the space-group type: Pm-3m. For the density, the calculation gives 6.57 Mg/m³. For the energy above the most stable polymorph in this dataset, the calculation gives 0.0 kJ per mole of atoms. For the total magnetization, the calculation gives 3.20 μB per cell. The calculation puts the density of states at the Fermi level at 7.067 states/eV/f.u.

***

Compound: CaZrSc2
Source: the Alexandria database
Functional: PBE-GGA
Structure: optimized geometry

Structure (CIF):
```
data_CaZrSc2
_chemical_formula_sum 'Ca1 Zr1 Sc2'
_cell_length_a 3.346
_cell_length_b 3.346
_cell_length_c 9.781
_cell_angle_alpha 90.00
_cell_angle_beta 90.00
_cell_angle_gamma 90.00
_symmetry_space_group_name_H-M 'P 1'
_symmetry_Int_Tables_number 1
loop_
_symmetry_equiv_pos_as_xyz
'x,y,z'
loop_
_atom_site_label
_atom_site_type_symbol
_atom_site_fract_x
_atom_site_fract_y
_atom_site_fract_z
Ca1 Ca 0.000 0.000 0.000
Zr1 Zr 0.000 0.000 0.500
Sc1 Sc 0.500 0.500 0.286
Sc2 Sc 0.500 0.500 0.714
```

Results
The calculation puts the formation energy at 102 meV/atom. As for the space-group type: P4/mmm. For the density, the calculation gives 3.35 Mg/m³. For the energy above the most stable polymorph in this dataset, the calculation gives 0.0 kJ per mole of atoms. For the total magnetization, the calculation gives 0.00 μB per cell. The calculation puts the density of states at the Fermi level at 6.213 states/eV/f.u.

***

Compound: Au2Br
Source: the Alexandria database
Functional: PBE-GGA
Structure: optimized geometry

Structure (CIF):
```
data_Au2Br
_chemical_formula_sum 'Au4 Br2'
_cell_length_a 5.074
_cell_length_b 5.074
_cell_length_c 5.711
_cell_angle_alpha 90.00
_cell_angle_beta 90.00
_cell_angle_gamma 120.00
_symmetry_space_group_name_H-M 'P 1'
_symmetry_Int_Tables_number 1
loop_
_symmetry_equiv_pos_as_xyz
'x,y,z'
loop_
_atom_site_label
_atom_site_type_symbol
_atom_site_fract_x
_atom_site_fract_y
_atom_site_fract_z
Au1 Au 0.000 0.000 0.000
Au2 Au 0.000 0.000 0.500
Au3 Au 0.333 0.667 0.250
Au4 Au 0.667 0.333 0.750
Br1 Br 0.333 0.667 0.750
Br2 Br 0.667 0.333 0.250
```

Results
As for the space-group type: P6_3/mmc. For the density, the calculation gives 12.36 Mg/m³. For the energy above the most stable polymorph in this dataset, the calculation gives 43.5 kJ per mole of atoms. For the total magnetization, the calculation gives 0.00 μB per cell. The calculation puts the density of states at the Fermi level at 2.145 states/eV/f.u. For the energy relative to the elements, uncorrected, the calculation gives 0.47 eV/atom.

***

Compound: Nb3TcTe
Source: the Alexandria database
Functional: PBE-GGA
Structure: optimized geometry

Structure (CIF):
```
data_Nb3TcTe
_chemical_formula_sum 'Nb3 Tc1 Te1'
_cell_length_a 4.962
_cell_length_b 4.962
_cell_length_c 4.962
_cell_angle_alpha 90.00
_cell_angle_beta 90.00
_cell_angle_gamma 90.00
_symmetry_space_group_name_H-M 'P 1'
_symmetry_Int_Tables_number 1
loop_
_symmetry_equiv_pos_as_xyz
'x,y,z'
loop_
_atom_site_label
_atom_site_type_symbol
_atom_site_fract_x
_atom_site_fract_y
_atom_site_fract_z
Nb1 Nb 0.000 0.000 0.500
Nb2 Nb 0.000 0.500 0.000
Nb3 Nb 0.500 0.000 0.000
Tc1 Tc 0.500 0.500 0.500
Te1 Te 0.000 0.000 0.000
```

Results
As for the space-group type: Pm-3m. For the density, the calculation gives 6.85 Mg/m³. For the energy above the most stable polymorph in this dataset, the calculation gives 85.9 kJ per mole of atoms. For the total magnetization, the calculation gives 1.29 μB per cell. The calculation puts the density of states at the Fermi level at 7.924 states/eV/f.u. For the energy relative to the elements, uncorrected, the calculation gives 1.80 eV/atom.

***

Compound: SrLa2Ir2
Source: the Alexandria database
Functional: PBE-GGA
Structure: optimized geometry

Structure (CIF):
```
data_SrLa2Ir2
_chemical_formula_sum 'Sr2 La4 Ir4'
_cell_length_a 4.876
_cell_length_b 4.876
_cell_length_c 12.009
_cell_angle_alpha 90.00
_cell_angle_beta 90.00
_cell_angle_gamma 90.00
_symmetry_space_group_name_H-M 'P 1'
_symmetry_Int_Tables_number 1
loop_
_symmetry_equiv_pos_as_xyz
'x,y,z'
loop_
_atom_site_label
_atom_site_type_symbol
_atom_site_fract_x
_atom_site_fract_y
_atom_site_fract_z
Sr1 Sr 0.000 0.000 0.000
Sr2 Sr 0.500 0.500 0.500
La1 La 0.000 0.500 0.250
La2 La 0.000 0.500 0.750
La3 La 0.500 0.000 0.250
La4 La 0.500 0.000 0.750
Ir1 Ir 0.000 0.000 0.390
Ir2 Ir 0.000 0.000 0.610
Ir3 Ir 0.500 0.500 0.110
Ir4 Ir 0.500 0.500 0.890
```

Results
The calculation puts the formation energy at -418 meV/atom. As for the space-group type: I4/mmm. For the density, the calculation gives 8.72 Mg/m³. For the energy above the most stable polymorph in this dataset, the calculation gives 6.7 kJ per mole of atoms. For the total magnetization, the calculation gives 0.00 μB per cell. The calculation puts the density of states at the Fermi level at 2.144 states/eV/f.u.

***

Compound: YSn3Pd7
Source: the Alexandria database
Functional: PBE-GGA
Structure: optimized geometry

Structure (CIF):
```
data_YSn3Pd7
_chemical_formula_sum 'Y1 Sn3 Pd7'
_cell_length_a 6.463
_cell_length_b 6.463
_cell_length_c 5.591
_cell_angle_alpha 104.63
_cell_angle_beta 104.63
_cell_angle_gamma 98.13
_symmetry_space_group_name_H-M 'P 1'
_symmetry_Int_Tables_number 1
loop_
_symmetry_equiv_pos_as_xyz
'x,y,z'
loop_
_atom_site_label
_atom_site_type_symbol
_atom_site_fract_x
_atom_site_fract_y
_atom_site_fract_z
Y1 Y 0.000 0.000 0.000
Sn1 Sn 0.270 0.730 0.500
Sn2 Sn 0.500 0.500 0.000
Sn3 Sn 0.730 0.270 0.500
Pd1 Pd 0.000 0.000 0.500
Pd2 Pd 0.092 0.552 0.816
Pd3 Pd 0.314 0.314 0.454
Pd4 Pd 0.448 0.908 0.184
Pd5 Pd 0.552 0.092 0.816
Pd6 Pd 0.686 0.686 0.546
Pd7 Pd 0.908 0.448 0.184
```

Results
The calculation puts the formation energy at -497 meV/atom. As for the space-group type: C2/m. For the density, the calculation gives 9.26 Mg/m³. For the total magnetization, the calculation gives 0.00 μB per cell. The calculation puts the density of states at the Fermi level at 4.239 states/eV/f.u.

***

Compound: AcAuBrO2
Source: the Alexandria database
Functional: PBE-GGA
Structure: optimized geometry

Structure (CIF):
```
data_AcAuBrO2
_chemical_formula_sum 'Ac2 Au2 Br2 O4'
_cell_length_a 7.081
_cell_length_b 7.081
_cell_length_c 6.034
_cell_angle_alpha 90.00
_cell_angle_beta 90.00
_cell_angle_gamma 130.76
_symmetry_space_group_name_H-M 'P 1'
_symmetry_Int_Tables_number 1
loop_
_symmetry_equiv_pos_as_xyz
'x,y,z'
loop_
_atom_site_label
_atom_site_type_symbol
_atom_site_fract_x
_atom_site_fract_y
_atom_site_fract_z
Ac1 Ac 0.109 0.891 0.750
Ac2 Ac 0.891 0.109 0.250
Au1 Au 0.478 0.522 0.750
Au2 Au 0.522 0.478 0.250
Br1 Br 0.246 0.754 0.250
Br2 Br 0.754 0.246 0.750
O1 O 0.233 0.233 0.000
O2 O 0.233 0.233 0.500
O3 O 0.767 0.767 0.000
O4 O 0.767 0.767 0.500
```

Results
As for the space-group type: Cmcm. For the density, the calculation gives 7.77 Mg/m³. For the total magnetization, the calculation gives 1.75 μB per cell. The calculation puts the density of states at the Fermi level at 1.353 states/eV/f.u. For the energy relative to the elements, uncorrected, the calculation gives -1.60 eV/atom.

***

Compound: CdCuPS2
Source: the Alexandria database
Functional: PBE-GGA
Structure: optimized geometry

Structure (CIF):
```
data_CdCuPS2
_chemical_formula_sum 'Cd1 Cu1 P1 S2'
_cell_length_a 5.018
_cell_length_b 5.018
_cell_length_c 4.944
_cell_angle_alpha 90.00
_cell_angle_beta 90.00
_cell_angle_gamma 90.00
_symmetry_space_group_name_H-M 'P 1'
_symmetry_Int_Tables_number 1
loop_
_symmetry_equiv_pos_as_xyz
'x,y,z'
loop_
_atom_site_label
_atom_site_type_symbol
_atom_site_fract_x
_atom_site_fract_y
_atom_site_fract_z
Cd1 Cd 0.000 0.000 0.000
Cu1 Cu 0.500 0.500 0.500
P1 P 0.000 0.000 0.500
S1 S 0.000 0.500 0.000
S2 S 0.500 0.000 0.000
```

Results
As for the space-group type: P4/mmm. For the density, the calculation gives 3.62 Mg/m³. For the energy above the most stable polymorph in this dataset, the calculation gives 63.9 kJ per mole of atoms. For the total magnetization, the calculation gives 1.31 μB per cell. The calculation puts the density of states at the Fermi level at 5.353 states/eV/f.u. For the energy relative to the elements, uncorrected, the calculation gives 1.20 eV/atom.

***

Compound: BeInCu2
Source: the Alexandria database
Functional: PBE-GGA
Structure: optimized geometry

Structure (CIF):
```
data_BeInCu2
_chemical_formula_sum 'Be4 In4 Cu8'
_cell_length_a 6.034
_cell_length_b 6.034
_cell_length_c 6.034
_cell_angle_alpha 90.00
_cell_angle_beta 90.00
_cell_angle_gamma 90.00
_symmetry_space_group_name_H-M 'P 1'
_symmetry_Int_Tables_number 1
loop_
_symmetry_equiv_pos_as_xyz
'x,y,z'
loop_
_atom_site_label
_atom_site_type_symbol
_atom_site_fract_x
_atom_site_fract_y
_atom_site_fract_z
Be1 Be 0.000 0.000 0.000
Be2 Be 0.000 0.500 0.500
Be3 Be 0.500 0.000 0.500
Be4 Be 0.500 0.500 0.000
In1 In 0.000 0.000 0.500
In2 In 0.000 0.500 0.000
In3 In 0.500 0.000 0.000
In4 In 0.500 0.500 0.500
Cu1 Cu 0.250 0.250 0.250
Cu2 Cu 0.250 0.250 0.750
Cu3 Cu 0.250 0.750 0.250
Cu4 Cu 0.250 0.750 0.750
Cu5 Cu 0.750 0.250 0.250
Cu6 Cu 0.750 0.250 0.750
Cu7 Cu 0.750 0.750 0.250
Cu8 Cu 0.750 0.750 0.750
```

Results
The calculation puts the formation energy at 174 meV/atom. As for the space-group type: Fm-3m. For the density, the calculation gives 7.59 Mg/m³. For the energy above the most stable polymorph in this dataset, the calculation gives 10.7 kJ per mole of atoms. For the total magnetization, the calculation gives 0.00 μB per cell. The calculation puts the density of states at the Fermi level at 0.783 states/eV/f.u.